This record from OQMD describes a geometry-optimized RbDySnSe3 structure. The functional is GGA-PBE.

Cell: 15.994 4.195 12.111 Å, 90.00 90.00 90.00°
Fractional positions:
Rb 0.232 0.250 0.082
Rb 0.268 0.750 0.582
Rb 0.732 0.250 0.418
Rb 0.768 0.750 0.918
Dy 0.005 0.750 0.645
Dy 0.495 0.250 0.145
Dy 0.505 0.750 0.855
Dy 0.995 0.250 0.355
Sn 0.039 0.250 0.909
Sn 0.461 0.750 0.409
Sn 0.539 0.250 0.591
Sn 0.961 0.750 0.091
Se 0.087 0.750 0.236
Se 0.100 0.250 0.543
Se 0.131 0.750 0.821
Se 0.369 0.250 0.321
Se 0.400 0.750 0.043
Se 0.413 0.250 0.736
Se 0.587 0.750 0.264
Se 0.600 0.250 0.957
Se 0.631 0.750 0.679
Se 0.869 0.250 0.179
Se 0.900 0.750 0.457
Se 0.913 0.250 0.764

## Properties
Calculated density ... 4933 kg/m3
Energy above the most stable polymorph in this dataset ... 0.0000 eV/atom
Symmetry ... No. 62
E_tot ... -4.636 eV/atom